A geometry-optimized YTlPd2 structure, computed with PBE.

## Properties
**Spin magnetization**: 0.00 μB/cell
**Formation energy**: -0.56 eV per atom

a b c (Å): 3.560 3.560 6.537
angles (deg): 90.00 90.00 90.00
Fractional positions:
Y (0.000, 0.000, 0.000)
Tl (0.000, 0.000, 0.500)
Pd (0.500, 0.500, 0.249)
Pd (0.500, 0.500, 0.751)